# 1
InMoOs2: relaxed, PBE-GGA.

Formation energy from the elements (eV/atom): 0.64

Structure (CIF):
```
data_InMoOs2
_chemical_formula_sum 'In2 Mo2 Os4'
_symmetry_space_group_name_H-M 'C m m 2'
_symmetry_Int_Tables_number 35
_symmetry_space_group_name_Hall 'C 2 -2'
_cell_length_a 2.9270
_cell_length_b 4.7974
_cell_length_c 9.3380
_cell_angle_alpha 90.00
_cell_angle_beta 90.00
_cell_angle_gamma 90.00
loop_
_atom_site_label
_atom_site_fract_x
_atom_site_fract_y
_atom_site_fract_z
In1 0.0000 0.0000 0.0000
Mo1 0.0000 0.5000 0.7325
Os1 0.0000 0.0000 0.4962
Os2 0.0000 0.5000 0.2573
```


# 2
RbInHgSb2: relaxed, PBE-GGA.

Formation energy without anion corrections (meV/atom): -224

Structure (CIF):
```
data_RbInHgSb2
_chemical_formula_sum 'Rb2 In2 Hg2 Sb4'
_symmetry_space_group_name_H-M 'P 1 2/c 1'
_symmetry_Int_Tables_number 13
_symmetry_space_group_name_Hall '-P 2yc'
_cell_length_a 8.0620
_cell_length_b 6.9876
_cell_length_c 7.4181
_cell_angle_alpha 90.00
_cell_angle_beta 108.43
_cell_angle_gamma 90.00
loop_
_atom_site_label
_atom_site_fract_x
_atom_site_fract_y
_atom_site_fract_z
Rb1 0.0000 0.2235 0.2500
In1 0.5000 0.4943 0.2500
Hg1 0.5000 0.0000 0.0000
Sb1 0.2677 0.2937 0.9161
```


# 3
Tb3TmTh3: relaxed, PBE-GGA.

Formation energy from the elements (eV/atom): 0.04
Polymorph energy (0 for the lowest one) (eV per atom): 0.000

Structure (CIF):
```
data_Tb3TmTh3
_chemical_formula_sum 'Tb6 Tm2 Th6'
_symmetry_space_group_name_H-M 'P 63/m'
_symmetry_Int_Tables_number 176
_symmetry_space_group_name_Hall '-P 6c'
_cell_length_a 9.4477
_cell_length_b 9.4477
_cell_length_c 5.8405
_cell_angle_alpha 90.00
_cell_angle_beta 90.00
_cell_angle_gamma 120.00
loop_
_atom_site_label
_atom_site_fract_x
_atom_site_fract_y
_atom_site_fract_z
Tb1 0.0918 0.6215 0.2500
Tm1 0.3333 0.6667 0.7500
Th1 0.0485 0.8141 0.7500
```


# 4
NaPmTeO4: relaxed, PBE-GGA.

Formation energy without anion corrections (meV/atom): -1987

Structure (CIF):
```
data_NaPmTeO4
_chemical_formula_sum 'Na4 Pm4 Te4 O16'
_symmetry_space_group_name_H-M 'C m c m'
_symmetry_Int_Tables_number 63
_symmetry_space_group_name_Hall '-C 2c 2'
_cell_length_a 7.0409
_cell_length_b 9.1888
_cell_length_c 7.3630
_cell_angle_alpha 90.00
_cell_angle_beta 90.00
_cell_angle_gamma 90.00
loop_
_atom_site_label
_atom_site_fract_x
_atom_site_fract_y
_atom_site_fract_z
Na1 0.0000 0.2185 0.2500
Pm1 0.0000 0.5000 0.0000
Te1 0.0000 0.1075 0.7500
O1 0.0000 0.2451 0.5594
O2 0.2015 0.4372 0.2500
```


# 5
RbTl2InRu: relaxed, PBE-GGA.

Formation energy from the elements (eV/atom): 0.00

Structure (CIF):
```
data_RbTl2InRu
_chemical_formula_sum 'Rb1 Tl2 In1 Ru1'
_symmetry_space_group_name_H-M 'P 4/m m m'
_symmetry_Int_Tables_number 123
_symmetry_space_group_name_Hall '-P 4 2'
_cell_length_a 5.3823
_cell_length_b 5.3823
_cell_length_c 5.2754
_cell_angle_alpha 90.00
_cell_angle_beta 90.00
_cell_angle_gamma 90.00
loop_
_atom_site_label
_atom_site_fract_x
_atom_site_fract_y
_atom_site_fract_z
Rb1 0.0000 0.0000 0.0000
Tl1 0.0000 0.5000 0.5000
In1 0.5000 0.5000 0.0000
Ru1 0.5000 0.5000 0.5000
```


# 6
FeNi2: relaxed, PBE-GGA.

Formation energy from the elements (eV/atom): -0.07

Structure (CIF):
```
data_FeNi2
_chemical_formula_sum 'Fe8 Ni16'
_symmetry_space_group_name_H-M 'I 41/a m d'
_symmetry_Int_Tables_number 141
_cell_length_a 3.5579
_cell_length_b 3.5579
_cell_length_c 21.1987
_cell_angle_alpha 90.00
_cell_angle_beta 90.00
_cell_angle_gamma 90.00
loop_
_symmetry_equiv_pos_as_xyz
'x,y,z'
'-x,-y,-z'
'-y+1/4,x+3/4,z+1/4'
'y+1/4,-x+3/4,-z+1/4'
'-x+1/2,-y,z+1/2'
'x+1/2,y,-z+1/2'
'y+1/4,-x+1/4,z+3/4'
'-y+1/4,x+1/4,-z+3/4'
'x,-y,-z'
'-x,y,z'
'-y+1/4,-x+1/4,-z+3/4'
'y+1/4,x+1/4,z+3/4'
'-x+1/2,y,-z+1/2'
'x+1/2,-y,z+1/2'
'y+1/4,x+3/4,-z+1/4'
'-y+1/4,-x+3/4,z+1/4'
'x+1/2,y+1/2,z+1/2'
'-x+1/2,-y+1/2,-z+1/2'
'-y+3/4,x+1/4,z+3/4'
'y+3/4,-x+1/4,-z+3/4'
'-x,-y+1/2,z'
'x,y+1/2,-z'
'y+3/4,-x+3/4,z+1/4'
'-y+3/4,x+3/4,-z+1/4'
'x+1/2,-y+1/2,-z+1/2'
'-x+1/2,y+1/2,z+1/2'
'-y+3/4,-x+3/4,-z+1/4'
'y+3/4,x+3/4,z+1/4'
'-x,y+1/2,-z'
'x,-y+1/2,z'
'y+3/4,x+1/4,-z+3/4'
'-y+3/4,-x+1/4,z+3/4'
loop_
_atom_site_label
_atom_site_fract_x
_atom_site_fract_y
_atom_site_fract_z
Fe1 0.0000 0.2500 0.2923
Ni1 0.0000 0.2500 0.1247
Ni2 0.0000 0.2500 0.7919
```


# 7
ScTiH2: relaxed, PBE-GGA.

Polymorph energy (0 for the lowest one) (eV per atom): 0.017

Structure (CIF):
```
data_ScTiH2
_chemical_formula_sum 'Sc3 Ti3 H6'
_symmetry_space_group_name_H-M 'R -3 m'
_symmetry_Int_Tables_number 166
_symmetry_space_group_name_Hall '-R 3 2"'
_cell_length_a 3.0695
_cell_length_b 3.0695
_cell_length_c 15.1486
_cell_angle_alpha 90.00
_cell_angle_beta 90.00
_cell_angle_gamma 120.00
loop_
_atom_site_label
_atom_site_fract_x
_atom_site_fract_y
_atom_site_fract_z
Sc1 0.0000 0.0000 0.0000
Ti1 0.0000 0.0000 0.5000
H1 0.0000 0.0000 0.2353
```


# 8
CaBeTl2N: relaxed, PBE-GGA.

Formation energy without anion corrections (meV/atom): -11

Structure (CIF):
```
data_CaBeTl2N
_chemical_formula_sum 'Ca1 Be1 Tl2 N1'
_symmetry_space_group_name_H-M 'P 4/m m m'
_symmetry_Int_Tables_number 123
_symmetry_space_group_name_Hall '-P 4 2'
_cell_length_a 5.9775
_cell_length_b 5.9775
_cell_length_c 3.1231
_cell_angle_alpha 90.00
_cell_angle_beta 90.00
_cell_angle_gamma 90.00
loop_
_atom_site_label
_atom_site_fract_x
_atom_site_fract_y
_atom_site_fract_z
Ca1 0.0000 0.0000 0.0000
Be1 0.5000 0.5000 0.0000
Tl1 0.0000 0.5000 0.5000
N1 0.5000 0.5000 0.5000
```


# 9
Cs2Te4Se5: relaxed, PBE-GGA.

Formation energy without anion corrections (meV/atom): -245

Structure (CIF):
```
data_Cs2Te4Se5
_chemical_formula_sum 'Cs2 Te4 Se5'
_symmetry_space_group_name_H-M 'P -1'
_symmetry_Int_Tables_number 2
_symmetry_space_group_name_Hall '-P 1'
_cell_length_a 5.3941
_cell_length_b 5.4304
_cell_length_c 16.6486
_cell_angle_alpha 94.44
_cell_angle_beta 92.94
_cell_angle_gamma 116.68
loop_
_atom_site_label
_atom_site_fract_x
_atom_site_fract_y
_atom_site_fract_z
Cs1 0.0843 0.1360 0.3065
Te1 0.3274 0.5652 0.8479
Te2 0.4196 0.2284 0.5239
Se1 0.0000 0.5000 0.5000
Se2 0.1541 0.4191 0.1045
Se3 0.3471 0.0811 0.8947
```


# 10
Pm6PdRh2I3: relaxed, PBE-GGA.

Formation energy without anion corrections (meV/atom): -931

Structure (CIF):
```
data_Pm6PdRh2I3
_chemical_formula_sum 'Pm12 Pd2 Rh4 I6'
_symmetry_space_group_name_H-M 'C 1 2/m 1'
_symmetry_Int_Tables_number 12
_symmetry_space_group_name_Hall '-C 2y'
_cell_length_a 7.2470
_cell_length_b 12.5494
_cell_length_c 8.4422
_cell_angle_alpha 90.00
_cell_angle_beta 106.61
_cell_angle_gamma 90.00
loop_
_atom_site_label
_atom_site_fract_x
_atom_site_fract_y
_atom_site_fract_z
Pm1 0.2193 0.0000 0.1860
Pm2 0.2334 0.3287 0.1864
Pd1 0.0000 0.5000 0.0000
Rh1 0.0000 0.1667 0.0000
I1 0.0000 0.0000 0.5000
I2 0.0000 0.3336 0.5000
```


# 11
CePaGa2: relaxed, PBE-GGA.

Formation energy from the elements (eV/atom): -0.23
Polymorph energy (0 for the lowest one) (eV per atom): 0.143

Structure (CIF):
```
data_CePaGa2
_chemical_formula_sum 'Ce4 Pa4 Ga8'
_symmetry_space_group_name_H-M 'F m -3 m'
_symmetry_Int_Tables_number 225
_symmetry_space_group_name_Hall '-F 4 2 3'
_cell_length_a 7.1869
_cell_length_b 7.1869
_cell_length_c 7.1869
_cell_angle_alpha 90.00
_cell_angle_beta 90.00
_cell_angle_gamma 90.00
loop_
_atom_site_label
_atom_site_fract_x
_atom_site_fract_y
_atom_site_fract_z
Ce1 0.0000 0.0000 0.0000
Pa1 0.0000 0.0000 0.5000
Ga1 0.2500 0.2500 0.2500
```


# 12
Tb3EuIr: relaxed, PBE-GGA.

Formation energy from the elements (eV/atom): -0.33

Structure (CIF):
```
data_Tb3EuIr
_chemical_formula_sum 'Tb3 Eu1 Ir1'
_symmetry_space_group_name_H-M 'P m -3 m'
_symmetry_Int_Tables_number 221
_symmetry_space_group_name_Hall '-P 4 2 3'
_cell_length_a 5.5117
_cell_length_b 5.5117
_cell_length_c 5.5117
_cell_angle_alpha 90.00
_cell_angle_beta 90.00
_cell_angle_gamma 90.00
loop_
_atom_site_label
_atom_site_fract_x
_atom_site_fract_y
_atom_site_fract_z
Tb1 0.0000 0.0000 0.5000
Eu1 0.5000 0.5000 0.5000
Ir1 0.0000 0.0000 0.0000
```


V per entry: 16.4 39.6 32.3 17.0 30.6 11.2 10.3 22.3 39.3 30.7 23.2 33.5 A^3/atom
Total magnetic moment per entry: 0.0001 0.0000 0.0000 0.0000 0.0000 1.3391 0.0000 0.0000 0.0000 0.0000 0.5372 1.5087 μB/atom